DFT (PBE-GGA) results for a relaxed structure of HPdAu.

Cell and atoms, written as CIF:
```
data_HPdAu
_cell_length_a 2.9789
_cell_length_b 2.9789
_cell_length_c 4.8048
_cell_angle_alpha 90.00
_cell_angle_beta 90.00
_cell_angle_gamma 120.00
_symmetry_space_group_name_H-M 'P 3 m 1'
_symmetry_Int_Tables_number 156
loop_
_symmetry_equiv_pos_as_xyz
'x,y,z'
'-y,x-y,z'
'-x+y,-x,z'
'-y,-x,z'
'-x+y,y,z'
'x,x-y,z'
loop_
_atom_site_label
_atom_site_fract_x
_atom_site_fract_y
_atom_site_fract_z
H1 0.0000 0.0000 0.0000
Pd1 0.3333 0.6667 0.9135
Au1 0.6667 0.3333 0.4255
```

M_tot in μB/f.u.: 0.00
ΔE to the lowest computed polymorph in meV per atom: 5
Calculated total energy in eV per atom: -3.987
Calculated volume in Å³/f.u.: 37


DFT (PBE-GGA) results for a relaxed structure of SrIn2HgBi2.

Cell and atoms, written as CIF:
```
data_SrIn2HgBi2
_cell_length_a 7.1719
_cell_length_b 9.9780
_cell_length_c 5.2085
_cell_angle_alpha 90.00
_cell_angle_beta 90.00
_cell_angle_gamma 90.00
_symmetry_space_group_name_H-M 'P n n m'
_symmetry_Int_Tables_number 58
loop_
_symmetry_equiv_pos_as_xyz
'x,y,z'
'-x,-y,-z'
'-x,-y,z'
'x,y,-z'
'x+1/2,-y+1/2,-z+1/2'
'-x+1/2,y+1/2,z+1/2'
'-x+1/2,y+1/2,-z+1/2'
'x+1/2,-y+1/2,z+1/2'
loop_
_atom_site_label
_atom_site_fract_x
_atom_site_fract_y
_atom_site_fract_z
Sr1 0.0000 0.0000 0.0000
In1 0.1837 0.3522 0.0000
Hg1 0.0000 0.5000 0.5000
Bi1 0.2450 0.1750 0.5000
```

M_tot in μB/f.u.: 0.00
Calculated total energy in eV per atom: -2.834
Calculated volume in Å³/f.u.: 186
ΔE_f in eV/atom: -0.30


DFT (PBE-GGA) results for a relaxed structure of GaAgSn.

Cell and atoms, written as CIF:
```
data_GaAgSn
_cell_length_a 3.0510
_cell_length_b 6.3338
_cell_length_c 6.7163
_cell_angle_alpha 89.69
_cell_angle_beta 90.00
_cell_angle_gamma 89.95
_symmetry_space_group_name_H-M 'P 1'
_symmetry_Int_Tables_number 1
loop_
_symmetry_equiv_pos_as_xyz
'x,y,z'
loop_
_atom_site_label
_atom_site_fract_x
_atom_site_fract_y
_atom_site_fract_z
Ga1 0.0000 0.0000 0.0000
Ga2 0.0000 0.2753 0.5061
Ag1 0.4993 0.3134 0.1610
Ag2 0.5007 0.9545 0.6558
Sn1 0.0024 0.7130 0.3275
Sn2 0.9983 0.5592 0.8309
```

M_tot in μB/f.u.: 0.00
Calculated total energy in eV per atom: -3.244
Calculated volume in Å³/f.u.: 65
ΔE_f in eV/atom: 0.05


DFT (PBE-GGA) results for a relaxed structure of CaAg2Sb2.

Cell and atoms, written as CIF:
```
data_CaAg2Sb2
_cell_length_a 8.3158
_cell_length_b 8.3158
_cell_length_c 3.6116
_cell_angle_alpha 90.00
_cell_angle_beta 90.00
_cell_angle_gamma 90.00
_symmetry_space_group_name_H-M 'P 4/m b m'
_symmetry_Int_Tables_number 127
_symmetry_space_group_name_Hall '-P 4 2ab'
loop_
_atom_site_label
_atom_site_fract_x
_atom_site_fract_y
_atom_site_fract_z
Ca1 0.0000 0.0000 0.0000
Ag1 0.1319 0.3681 0.5000
Sb1 0.1636 0.6636 0.0000
```

M_tot in μB/f.u.: 0.00
Uncorrected formation energy in eV/atom: -0.16
Calculated total energy in eV per atom: -3.350
Calculated volume in Å³/f.u.: 125


DFT (PBE-GGA) results for a relaxed structure of CdSn2Ir.

Cell and atoms, written as CIF:
```
data_CdSn2Ir
_cell_length_a 3.2128
_cell_length_b 9.1177
_cell_length_c 3.2128
_cell_angle_alpha 90.00
_cell_angle_beta 90.00
_cell_angle_gamma 90.00
_symmetry_space_group_name_H-M 'P 1 m 1'
_symmetry_Int_Tables_number 6
loop_
_symmetry_equiv_pos_as_xyz
'x,y,z'
'x,-y,z'
loop_
_atom_site_label
_atom_site_fract_x
_atom_site_fract_y
_atom_site_fract_z
Cd1 0.0000 0.0000 0.0000
Sn1 0.9914 0.3146 0.0041
Ir1 0.4914 0.5000 0.5040
```

M_tot in μB/f.u.: 0.00
Calculated total energy in eV per atom: -4.458
Calculated volume in Å³/f.u.: 94
ΔE_f in eV/atom: -0.01


DFT (PBE-GGA) results for a relaxed structure of CrOsS2.

Cell and atoms, written as CIF:
```
data_CrOsS2
_cell_length_a 5.8505
_cell_length_b 5.8505
_cell_length_c 5.8505
_cell_angle_alpha 90.00
_cell_angle_beta 90.00
_cell_angle_gamma 90.00
_symmetry_space_group_name_H-M 'F m -3 m'
_symmetry_Int_Tables_number 225
_symmetry_space_group_name_Hall '-F 4 2 3'
loop_
_atom_site_label
_atom_site_fract_x
_atom_site_fract_y
_atom_site_fract_z
Cr1 0.0000 0.0000 0.0000
Os1 0.0000 0.0000 0.5000
S1 0.2500 0.2500 0.2500
```

M_tot in μB/f.u.: 0.00
Uncorrected formation energy in eV/atom: 0.29
ΔE to the lowest computed polymorph in meV per atom: 421
Calculated total energy in eV per atom: -6.990
Calculated volume in Å³/f.u.: 50


DFT (PBE-GGA) results for a relaxed structure of Mg2ZrCrSb.

Cell and atoms, written as CIF:
```
data_Mg2ZrCrSb
_cell_length_a 5.2128
_cell_length_b 5.2128
_cell_length_c 5.4342
_cell_angle_alpha 90.00
_cell_angle_beta 90.00
_cell_angle_gamma 90.00
_symmetry_space_group_name_H-M 'P 4/m m m'
_symmetry_Int_Tables_number 123
_symmetry_space_group_name_Hall '-P 4 2'
loop_
_atom_site_label
_atom_site_fract_x
_atom_site_fract_y
_atom_site_fract_z
Mg1 0.0000 0.5000 0.0000
Zr1 0.0000 0.0000 0.5000
Cr1 0.5000 0.5000 0.5000
Sb1 0.0000 0.0000 0.0000
```

M_tot in μB/f.u.: 4.45
Uncorrected formation energy in eV/atom: 0.85
Calculated total energy in eV per atom: -4.244
Calculated volume in Å³/f.u.: 148


DFT (PBE-GGA) results for a relaxed structure of SiP3.

Cell and atoms, written as CIF:
```
data_SiP3
_cell_length_a 3.8924
_cell_length_b 3.8924
_cell_length_c 3.8924
_cell_angle_alpha 90.00
_cell_angle_beta 90.00
_cell_angle_gamma 90.00
_symmetry_space_group_name_H-M 'P m -3 m'
_symmetry_Int_Tables_number 221
_symmetry_space_group_name_Hall '-P 4 2 3'
loop_
_atom_site_label
_atom_site_fract_x
_atom_site_fract_y
_atom_site_fract_z
Si1 0.0000 0.0000 0.0000
P1 0.0000 0.5000 0.5000
```

M_tot in μB/f.u.: 0.00
Uncorrected formation energy in eV/atom: 0.77
Calculated total energy in eV per atom: -4.646
Calculated volume in Å³/f.u.: 59


DFT (PBE-GGA) results for a relaxed structure of NbSn3Cl.

Cell and atoms, written as CIF:
```
data_NbSn3Cl
_cell_length_a 5.3949
_cell_length_b 5.3949
_cell_length_c 5.3949
_cell_angle_alpha 90.00
_cell_angle_beta 90.00
_cell_angle_gamma 90.00
_symmetry_space_group_name_H-M 'P m -3 m'
_symmetry_Int_Tables_number 221
_symmetry_space_group_name_Hall '-P 4 2 3'
loop_
_atom_site_label
_atom_site_fract_x
_atom_site_fract_y
_atom_site_fract_z
Nb1 0.0000 0.0000 0.0000
Sn1 0.0000 0.0000 0.5000
Cl1 0.5000 0.5000 0.5000
```

M_tot in μB/f.u.: 0.00
Uncorrected formation energy in eV/atom: 0.12
ΔE to the lowest computed polymorph in meV per atom: 0
Calculated total energy in eV per atom: -4.665
Calculated volume in Å³/f.u.: 157


DFT (PBE-GGA) results for a relaxed structure of BaTi8O16.

Cell and atoms, written as CIF:
```
data_BaTi8O16
_cell_length_a 5.9541
_cell_length_b 7.3617
_cell_length_c 7.4048
_cell_angle_alpha 88.26
_cell_angle_beta 78.34
_cell_angle_gamma 78.25
_symmetry_space_group_name_H-M 'P -1'
_symmetry_Int_Tables_number 2
loop_
_symmetry_equiv_pos_as_xyz
'x,y,z'
'-x,-y,-z'
loop_
_atom_site_label
_atom_site_fract_x
_atom_site_fract_y
_atom_site_fract_z
Ba1 0.0000 0.0000 0.0000
Ti1 0.0748 0.5090 0.1859
Ti2 0.1693 0.8126 0.5112
Ti3 0.3381 0.1777 0.4684
Ti4 0.4255 0.4733 0.8215
O1 0.0236 0.2960 0.6230
O2 0.1466 0.0429 0.3528
O3 0.1665 0.6324 0.7129
O4 0.1694 0.3530 0.9520
O5 0.3229 0.6433 0.0491
O6 0.3366 0.3753 0.2918
O7 0.3462 0.9570 0.6431
O8 0.4843 0.7024 0.3805
```

M_tot in μB/f.u.: 2.09
Uncorrected formation energy in eV/atom: -3.04
Calculated total energy in eV per atom: -8.814
Calculated volume in Å³/f.u.: 311


DFT (PBE-GGA) results for a relaxed structure of Pm2HgPt.

Cell and atoms, written as CIF:
```
data_Pm2HgPt
_cell_length_a 7.3220
_cell_length_b 3.6710
_cell_length_c 7.5423
_cell_angle_alpha 90.00
_cell_angle_beta 90.00
_cell_angle_gamma 90.00
_symmetry_space_group_name_H-M 'P m m a'
_symmetry_Int_Tables_number 51
loop_
_symmetry_equiv_pos_as_xyz
'x,y,z'
'-x,-y,-z'
'-x+1/2,-y,z'
'x+1/2,y,-z'
'x+1/2,-y,-z'
'-x+1/2,y,z'
'-x,y,-z'
'x,-y,z'
loop_
_atom_site_label
_atom_site_fract_x
_atom_site_fract_y
_atom_site_fract_z
Pm1 0.0058 0.0000 0.2266
Hg1 0.2500 0.5000 0.5121
Pt1 0.2500 0.5000 0.9725
```

M_tot in μB/f.u.: 0.00
ΔE to the lowest computed polymorph in meV per atom: 0
Calculated total energy in eV per atom: -4.747
Calculated volume in Å³/f.u.: 101
ΔE_f in eV/atom: -0.79


DFT (PBE-GGA) results for a relaxed structure of Na4LiPu3O8.

Cell and atoms, written as CIF:
```
data_Na4LiPu3O8
_cell_length_a 6.8485
_cell_length_b 6.8485
_cell_length_c 16.6593
_cell_angle_alpha 90.00
_cell_angle_beta 90.00
_cell_angle_gamma 120.00
_symmetry_space_group_name_H-M 'R -3 m'
_symmetry_Int_Tables_number 166
_symmetry_space_group_name_Hall '-R 3 2"'
loop_
_atom_site_label
_atom_site_fract_x
_atom_site_fract_y
_atom_site_fract_z
Na1 0.0000 0.0000 0.0000
Na2 0.0000 0.5000 0.0000
Li1 0.0000 0.0000 0.5000
Pu1 0.0000 0.5000 0.5000
O1 0.0000 0.0000 0.2408
O2 0.0183 0.5091 0.7634
```

M_tot in μB/f.u.: 13.00
Uncorrected formation energy in eV/atom: -2.37
Calculated total energy in eV per atom: -7.982
Calculated volume in Å³/f.u.: 226


DFT (PBE-GGA) results for a relaxed structure of MgMn4Rh.

Cell and atoms, written as CIF:
```
data_MgMn4Rh
_cell_length_a 6.6891
_cell_length_b 6.6891
_cell_length_c 6.6891
_cell_angle_alpha 90.00
_cell_angle_beta 90.00
_cell_angle_gamma 90.00
_symmetry_space_group_name_H-M 'F -4 3 m'
_symmetry_Int_Tables_number 216
_symmetry_space_group_name_Hall 'F -4 2 3'
loop_
_atom_site_label
_atom_site_fract_x
_atom_site_fract_y
_atom_site_fract_z
Mg1 0.0000 0.0000 0.0000
Mn1 0.1262 0.1262 0.6262
Rh1 0.2500 0.2500 0.2500
```

M_tot in μB/f.u.: 1.33
Calculated total energy in eV per atom: -7.462
Calculated volume in Å³/f.u.: 75
ΔE_f in eV/atom: 0.14


DFT (PBE-GGA) results for a relaxed structure of Sr2Cu2SbO6.

Cell and atoms, written as CIF:
```
data_Sr2Cu2SbO6
_cell_length_a 5.9292
_cell_length_b 5.9292
_cell_length_c 15.6909
_cell_angle_alpha 90.00
_cell_angle_beta 90.00
_cell_angle_gamma 120.00
_symmetry_space_group_name_H-M 'R -3 m'
_symmetry_Int_Tables_number 166
_symmetry_space_group_name_Hall '-R 3 2"'
loop_
_atom_site_label
_atom_site_fract_x
_atom_site_fract_y
_atom_site_fract_z
Sr1 0.0000 0.0000 0.2159
Cu1 0.0000 0.0000 0.4139
Sb1 0.0000 0.0000 0.0000
O1 0.0340 0.5170 0.7499
```

M_tot in μB/f.u.: 1.06
Uncorrected formation energy in eV/atom: -1.61
Calculated total energy in eV per atom: -5.740
Calculated volume in Å³/f.u.: 159


DFT (PBE-GGA) results for a relaxed structure of MgNiTe.

Cell and atoms, written as CIF:
```
data_MgNiTe
_cell_length_a 4.2002
_cell_length_b 4.2002
_cell_length_c 4.0002
_cell_angle_alpha 90.00
_cell_angle_beta 90.00
_cell_angle_gamma 120.00
_symmetry_space_group_name_H-M 'P 3 m 1'
_symmetry_Int_Tables_number 156
loop_
_symmetry_equiv_pos_as_xyz
'x,y,z'
'-y,x-y,z'
'-x+y,-x,z'
'-y,-x,z'
'-x+y,y,z'
'x,x-y,z'
loop_
_atom_site_label
_atom_site_fract_x
_atom_site_fract_y
_atom_site_fract_z
Mg1 0.0000 0.0000 0.0000
Ni1 0.6667 0.3333 0.3978
Te1 0.3333 0.6667 0.4891
```

M_tot in μB/f.u.: 0.00
Uncorrected formation energy in eV/atom: -0.25
Calculated total energy in eV per atom: -3.756
Calculated volume in Å³/f.u.: 61


DFT (PBE-GGA) results for a relaxed structure of Pm3Fe7B2.

Cell and atoms, written as CIF:
```
data_Pm3Fe7B2
_cell_length_a 5.2059
_cell_length_b 5.2059
_cell_length_c 21.8188
_cell_angle_alpha 90.00
_cell_angle_beta 90.00
_cell_angle_gamma 120.00
_symmetry_space_group_name_H-M 'R -3 m'
_symmetry_Int_Tables_number 166
_symmetry_space_group_name_Hall '-R 3 2"'
loop_
_atom_site_label
_atom_site_fract_x
_atom_site_fract_y
_atom_site_fract_z
Pm1 0.0000 0.0000 0.0000
Pm2 0.0000 0.0000 0.1444
Fe1 0.0000 0.0000 0.5000
Fe2 0.0084 0.5042 0.0676
B1 0.0000 0.0000 0.3311
```

M_tot in μB/f.u.: 11.08
Calculated total energy in eV per atom: -7.365
Calculated volume in Å³/f.u.: 171
ΔE_f in eV/atom: -0.13


DFT (PBE-GGA) results for a relaxed structure of CaZr2Pt.

Cell and atoms, written as CIF:
```
data_CaZr2Pt
_cell_length_a 10.9853
_cell_length_b 3.2666
_cell_length_c 6.0147
_cell_angle_alpha 90.00
_cell_angle_beta 118.69
_cell_angle_gamma 90.00
_symmetry_space_group_name_H-M 'C 1 m 1'
_symmetry_Int_Tables_number 8
loop_
_symmetry_equiv_pos_as_xyz
'x,y,z'
'x,-y,z'
'x+1/2,y+1/2,z'
'x+1/2,-y+1/2,z'
loop_
_atom_site_label
_atom_site_fract_x
_atom_site_fract_y
_atom_site_fract_z
Ca1 0.0000 0.0000 0.0000
Zr1 0.1855 0.0000 0.6185
Zr2 0.4068 0.0000 0.4244
Pt1 0.2285 0.5000 0.0205
```

M_tot in μB/f.u.: 0.00
ΔE to the lowest computed polymorph in meV per atom: 166
Calculated total energy in eV per atom: -6.577
Calculated volume in Å³/f.u.: 95
ΔE_f in eV/atom: -0.29


DFT (PBE-GGA) results for a relaxed structure of TbTm2Ni.

Cell and atoms, written as CIF:
```
data_TbTm2Ni
_cell_length_a 3.3920
_cell_length_b 3.3920
_cell_length_c 8.6022
_cell_angle_alpha 90.00
_cell_angle_beta 90.00
_cell_angle_gamma 90.00
_symmetry_space_group_name_H-M 'P 4/m m m'
_symmetry_Int_Tables_number 123
_symmetry_space_group_name_Hall '-P 4 2'
loop_
_atom_site_label
_atom_site_fract_x
_atom_site_fract_y
_atom_site_fract_z
Tb1 0.0000 0.0000 0.0000
Tm1 0.5000 0.5000 0.3145
Ni1 0.0000 0.0000 0.5000
```

M_tot in μB/f.u.: 0.00
ΔE to the lowest computed polymorph in meV per atom: 64
Calculated total energy in eV per atom: -5.040
Calculated volume in Å³/f.u.: 99
ΔE_f in eV/atom: -0.20


DFT (PBE-GGA) results for a relaxed structure of Be3VBi.

Cell and atoms, written as CIF:
```
data_Be3VBi
_cell_length_a 4.7031
_cell_length_b 4.7031
_cell_length_c 4.7031
_cell_angle_alpha 90.00
_cell_angle_beta 90.00
_cell_angle_gamma 90.00
_symmetry_space_group_name_H-M 'P m -3 m'
_symmetry_Int_Tables_number 221
_symmetry_space_group_name_Hall '-P 4 2 3'
loop_
_atom_site_label
_atom_site_fract_x
_atom_site_fract_y
_atom_site_fract_z
Be1 0.0000 0.0000 0.5000
V1 0.5000 0.5000 0.5000
Bi1 0.0000 0.0000 0.0000
```

M_tot in μB/f.u.: 3.13
ΔE to the lowest computed polymorph in meV per atom: 616
Calculated total energy in eV per atom: -3.029
Calculated volume in Å³/f.u.: 104
ΔE_f in eV/atom: 1.81


DFT (PBE-GGA) results for a relaxed structure of In2Rh.

Cell and atoms, written as CIF:
```
data_In2Rh
_cell_length_a 3.7784
_cell_length_b 13.9696
_cell_length_c 4.3623
_cell_angle_alpha 90.00
_cell_angle_beta 90.00
_cell_angle_gamma 90.00
_symmetry_space_group_name_H-M 'C m c m'
_symmetry_Int_Tables_number 63
_symmetry_space_group_name_Hall '-C 2c 2'
loop_
_atom_site_label
_atom_site_fract_x
_atom_site_fract_y
_atom_site_fract_z
In1 0.0000 0.0667 0.2500
In2 0.0000 0.2530 0.7500
Rh1 0.0000 0.3952 0.2500
```

M_tot in μB/f.u.: 0.00
Calculated total energy in eV per atom: -4.440
Calculated volume in Å³/f.u.: 58
ΔE_f in eV/atom: -0.16